# K2PaBr4F2

K2PaBr4F2 after structural relaxation (GGA-PBE, Alexandria via LeMat-Bulk).

```
data_K2PaBr4F2
_chemical_formula_sum 'K2 Pa1 Br4 F2'
_space_group_name_H-M_alt 'P 1'
_space_group_IT_number 1
_cell_length_a 7.318
_cell_length_b 7.318
_cell_length_c 5.814
_cell_angle_alpha 99.10
_cell_angle_beta 99.10
_cell_angle_gamma 67.18
loop_
_space_group_symop_operation_xyz
'x,y,z'
loop_
_atom_site_label
_atom_site_fract_x
_atom_site_fract_y
_atom_site_fract_z
K1 0.179 0.179 0.331
K2 0.821 0.821 0.669
Pa1 0.500 0.500 0.000
Br1 0.133 0.652 0.208
Br2 0.348 0.867 0.792
Br3 0.652 0.133 0.208
Br4 0.867 0.348 0.792
F1 0.363 0.363 0.715
F2 0.637 0.637 0.285
```

Results
Crystal system: monoclinic
Magnetic moment, μB/cell: 1.00
Raw total energy, eV/cell: -42.209

# SmCu9Ag2

SmCu9Ag2 after structural relaxation (GGA-PBE, Alexandria via LeMat-Bulk).

```
data_SmCu9Ag2
_chemical_formula_sum 'Sm1 Cu9 Ag2'
_space_group_name_H-M_alt 'P 1'
_space_group_IT_number 1
_cell_length_a 8.549
_cell_length_b 8.549
_cell_length_c 8.549
_cell_angle_alpha 34.15
_cell_angle_beta 34.15
_cell_angle_gamma 34.15
loop_
_space_group_symop_operation_xyz
'x,y,z'
loop_
_atom_site_label
_atom_site_fract_x
_atom_site_fract_y
_atom_site_fract_z
Sm1 0.000 0.000 0.000
Cu1 0.082 0.586 0.586
Cu2 0.333 0.333 0.333
Cu3 0.414 0.414 0.918
Cu4 0.414 0.918 0.414
Cu5 0.500 0.500 0.500
Cu6 0.586 0.082 0.586
Cu7 0.586 0.586 0.082
Cu8 0.667 0.667 0.667
Cu9 0.918 0.414 0.414
Ag1 0.145 0.145 0.145
Ag2 0.855 0.855 0.855
```

Results
Crystal system: trigonal
Magnetic moment, μB/cell: 0.00
Formation enthalpy at 0 K, meV/atom: -79
Raw total energy, eV/cell: -48.233

# Ca2GaNi3Ge4

Ca2GaNi3Ge4 after structural relaxation (GGA-PBE, Alexandria via LeMat-Bulk).

```
data_Ca2GaNi3Ge4
_chemical_formula_sum 'Ca2 Ga1 Ni3 Ge4'
_space_group_name_H-M_alt 'P 1'
_space_group_IT_number 1
_cell_length_a 4.102
_cell_length_b 4.102
_cell_length_c 10.253
_cell_angle_alpha 90.00
_cell_angle_beta 90.00
_cell_angle_gamma 90.00
loop_
_space_group_symop_operation_xyz
'x,y,z'
loop_
_atom_site_label
_atom_site_fract_x
_atom_site_fract_y
_atom_site_fract_z
Ca1 0.000 0.500 0.243
Ca2 0.500 0.000 0.757
Ga1 0.000 0.000 0.500
Ni1 0.000 0.500 0.877
Ni2 0.500 0.000 0.123
Ni3 0.500 0.500 0.500
Ge1 0.000 0.000 0.000
Ge2 0.000 0.500 0.647
Ge3 0.500 0.000 0.353
Ge4 0.500 0.500 0.000
```

Results
Crystal system: tetragonal
Magnetic moment, μB/cell: 0.00
Formation enthalpy at 0 K, meV/atom: -486
Raw total energy, eV/cell: -47.708

Which of these has the highest magnetic moment?
K2PaBr4F2